# Rb3HAuCl | Alexandria via LeMat-Bulk | PBE-GGA | optimized geometry
data_Rb3HAuCl
_chemical_formula_sum 'Rb6 H2 Au2 Cl2'
_cell_length_a 4.6701
_cell_length_b 8.1149
_cell_length_c 11.9297
_cell_angle_alpha 101.73
_cell_angle_beta 90.00
_cell_angle_gamma 90.00
_space_group_name_H-M_alt 'P 1'
_space_group_IT_number 1
loop_
_space_group_symop_operation_xyz
'x,y,z'
loop_
_atom_site_label
_atom_site_type_symbol
_atom_site_fract_x
_atom_site_fract_y
_atom_site_fract_z
Rb1 Rb 0.7500 0.0388 0.1696
Rb2 Rb 0.2500 0.9612 0.8304
Rb3 Rb 0.2500 0.7836 0.4774
Rb4 Rb 0.7500 0.2164 0.5226
Rb5 Rb 0.7500 0.5620 0.1722
Rb6 Rb 0.2500 0.4380 0.8278
H1 H 0.2500 0.1292 0.6404
H2 H 0.7500 0.8708 0.3596
Au1 Au 0.2500 0.3472 0.3187
Au2 Au 0.7500 0.6528 0.6813
Cl1 Cl 0.2500 0.7628 0.0509
Cl2 Cl 0.7500 0.2372 0.9491
# M_tot ... 0.08 μB/cell
# Electronic total energy ... -2.671 eV per atom